The following is a GGA-PBE calculation of MnGa2HPt after structural relaxation, from Alexandria.

a = 4.1856 Å, b = 4.1856 Å, c = 3.4994 Å
α = 90.00°, β = 90.00°, γ = 90.00°
Fractional coordinates of all 5 atoms:
Mn  0.0000  0.0000  0.0000
Ga  0.0000  0.5000  0.5000
Ga  0.5000  0.0000  0.5000
H  0.0000  0.0000  0.5000
Pt  0.5000  0.5000  0.0000

Its total DFT energy (no corrections) is -5.044 eV/atom. As for the space group: No. 123.